Density functional theory data (PBE) for crystalline KTiPt3 at its relaxed geometry.

Cell and atoms, written as POSCAR:
```
KTiPt3
1.0
4.8574 0.0000 0.0000
0.0000 4.8574 0.0000
0.0000 0.0000 4.8574
K Ti Pt
1 1 3
direct
0.0000 0.0000 0.0000
0.5000 0.5000 0.5000
0.0000 0.0000 0.5000
0.0000 0.5000 0.0000
0.5000 0.0000 0.0000
```

Output
Formation energy from the elements = 1.98 eV/atom
Electronic total energy = -0.253 Ry/atom
SG = No. 221
Magnetic moment = 0.00 μB/cell



Density functional theory data (PBE) for crystalline K3TiPt at its relaxed geometry.

Cell and atoms, written as POSCAR:
```
K3TiPt
1.0
6.1686 0.0000 0.0000
0.0000 6.1686 0.0000
0.0000 0.0000 6.1686
K Ti Pt
3 1 1
direct
0.0000 0.0000 0.5000
0.0000 0.5000 0.0000
0.5000 0.0000 0.0000
0.5000 0.5000 0.5000
0.0000 0.0000 0.0000
```

Output
Formation energy from the elements = 0.82 eV/atom
Electronic total energy = -0.193 Ry/atom
SG = No. 221
Magnetic moment = 3.00 μB/cell